Density functional theory data (PBE) for a relaxed CeDyPd6 crystal.

Cell and atoms, written as POSCAR:
```
CeDyPd6
1.0
4.134 0.000 0.000
0.000 4.134 0.000
0.000 0.000 8.260
Ce Dy Pd
1 1 6
direct
0.000 0.000 0.000 Ce
0.000 0.000 0.500 Dy
0.000 0.500 0.248 Pd
0.000 0.500 0.752 Pd
0.500 0.000 0.248 Pd
0.500 0.000 0.752 Pd
0.500 0.500 0.000 Pd
0.500 0.500 0.500 Pd
```

Calculated values
Electronic total energy, eV/atom: -6.0919
M_tot, Bohr magnetons per cell: 0.184

---

Density functional theory data (PBE) for a relaxed RePtSe2 crystal.

Cell and atoms, written as POSCAR:
```
RePtSe2
1.0
1.683 0.972 7.972
-1.683 0.972 7.972
0.000 -1.944 7.972
Re Pt Se
1 1 2
direct
0.000 0.000 0.000 Re
0.500 0.500 0.500 Pt
0.099 0.099 0.099 Se
0.901 0.901 0.901 Se
```

Calculated values
Distance to the lowest polymorph of the same formula, meV per atom: 522.8
M_tot, Bohr magnetons per cell: 0.000
Formation energy from raw total energies, eV/atom: 0.61

---

Density functional theory data (PBE) for a relaxed TmIn2Au6 crystal.

Cell and atoms, written as POSCAR:
```
TmIn2Au6
1.0
2.626 -7.642 0.000
2.626 7.642 0.000
-2.544 0.000 4.470
Tm In Au
1 2 6
direct
0.000 0.000 0.000 Tm
0.162 0.838 0.500 In
0.838 0.162 0.500 In
0.164 0.500 0.167 Au
0.339 0.339 0.672 Au
0.500 0.164 0.167 Au
0.500 0.836 0.833 Au
0.661 0.661 0.328 Au
0.836 0.500 0.833 Au
```

Calculated values
Electronic total energy, eV/atom: -3.6619
M_tot, Bohr magnetons per cell: 0.000

---

Density functional theory data (PBE) for a relaxed Ac4Pr5Ho2 crystal.

Cell and atoms, written as POSCAR:
```
Ac4Pr5Ho2
1.0
11.813 -1.877 0.000
11.813 1.877 0.000
-2.988 0.000 9.811
Ac Pr Ho
4 5 2
direct
0.045 0.045 0.193 Ac
0.391 0.391 0.098 Ac
0.609 0.609 0.902 Ac
0.955 0.955 0.807 Ac
0.135 0.135 0.576 Pr
0.212 0.212 0.347 Pr
0.500 0.500 0.500 Pr
0.788 0.788 0.653 Pr
0.865 0.865 0.424 Pr
0.236 0.236 0.867 Ho
0.764 0.764 0.133 Ho
```

Calculated values
Electronic total energy, eV/atom: -4.3257
M_tot, Bohr magnetons per cell: 0.000

---

Q: Look up the M_tot of the fourth one.
A: 0.000 Bohr magnetons per cell

---

Q: What is the M_tot in the first record?
A: 0.184 Bohr magnetons per cell

---

Q: What is the M_tot in the fourth record?
A: 0.000 Bohr magnetons per cell